Record 1
## K6ICl4 (PBE)

Data for crystalline K6ICl4 at its relaxed geometry.

Properties
Calculated density, Mg/m³: 1.98
Raw formation energy, eV/atom: -1.629
Crystal system: orthorhombic
E, eV/atom: -3.04
Total moment, μB/f.u.: 0.276

```
K6ICl4
1.0
2.305 -7.728 0.000
2.305 7.728 0.000
0.000 0.000 23.758
K I Cl
12 2 8
Cartesian
0.000 0.000 0.000 K
0.000 0.000 11.879 K
2.305 5.158 17.819 K
2.305 3.511 1.877 K
2.305 3.511 10.002 K
2.305 0.485 15.667 K
2.305 0.485 19.971 K
2.305 -0.485 3.787 K
2.305 -0.485 8.092 K
2.305 -3.511 13.756 K
2.305 -3.511 21.881 K
2.305 -5.158 5.940 K
2.305 5.375 5.940 I
2.305 -5.375 17.819 I
2.305 6.224 14.624 Cl
2.305 6.224 21.013 Cl
2.305 2.108 12.918 Cl
2.305 2.108 22.720 Cl
2.305 -2.108 1.039 Cl
2.305 -2.108 10.840 Cl
2.305 -6.224 2.745 Cl
2.305 -6.224 9.134 Cl
```



Record 2
## KI3Cl (PBE)

Data for crystalline KI3Cl at its relaxed geometry.

Properties
Calculated density, Mg/m³: 3.68
Raw formation energy, eV/atom: -0.370
Crystal system: cubic
Energy above the most stable polymorph in this dataset, kJ/mol of atoms: 0.0
E, eV/atom: -1.89
Total moment, μB/f.u.: 0.000

```
KI3Cl
1.0
5.900 0.000 0.000
0.000 5.900 0.000
0.000 0.000 5.900
K I Cl
1 3 1
Cartesian
0.000 0.000 0.000 K
0.000 2.950 2.950 I
2.950 0.000 2.950 I
2.950 2.950 0.000 I
2.950 2.950 2.950 Cl
```



Record 3
## KICl3 (PBE)

Data for crystalline KICl3 at its relaxed geometry.

Properties
Calculated density, Mg/m³: 2.21
Raw formation energy, eV/atom: -0.165
Crystal system: cubic
Energy above the most stable polymorph in this dataset, kJ/mol of atoms: 70.5
E, eV/atom: -1.80
Total moment, μB/f.u.: 3.000

```
KICl3
1.0
5.893 0.000 0.000
0.000 5.893 0.000
0.000 0.000 5.893
K I Cl
1 1 3
Cartesian
0.000 0.000 0.000 K
2.947 2.947 2.947 I
0.000 0.000 2.947 Cl
0.000 2.947 0.000 Cl
2.947 0.000 0.000 Cl
```



Record 4
## K2LiICl2 (PBE)

Data for crystalline K2LiICl2 at its relaxed geometry.

Properties
Calculated density, Mg/m³: 2.46
Raw formation energy, eV/atom: -1.683
Crystal system: tetragonal
E, eV/atom: -3.24
Total moment, μB/f.u.: 0.000

```
K2LiICl2
1.0
4.899 0.000 0.000
0.000 4.899 0.000
0.000 0.000 7.951
K Li I Cl
2 1 1 2
Cartesian
0.000 0.000 1.959 K
0.000 0.000 5.991 K
2.450 2.450 3.975 Li
2.450 2.450 0.000 I
0.000 2.450 3.975 Cl
2.450 0.000 3.975 Cl
```



Record 5
## KLiICl6 (PBE)

Data for crystalline KLiICl6 at its relaxed geometry.

Properties
Calculated density, Mg/m³: 2.21
Raw formation energy, eV/atom: -0.854
Crystal system: triclinic
E, eV/atom: -2.59
Total moment, μB/f.u.: 1.036

```
KLiICl6
1.0
6.738 0.000 0.000
-2.885 6.104 0.000
-0.216 -0.320 7.030
K Li I Cl
1 1 1 6
Cartesian
0.000 0.000 0.000 K
-0.090 4.109 3.521 Li
3.314 1.947 3.518 I
-1.788 3.869 1.857 Cl
-0.597 5.750 5.187 Cl
1.275 2.219 2.071 Cl
2.190 3.676 4.960 Cl
4.140 0.053 2.088 Cl
5.375 2.017 4.954 Cl
```



Record 6
## K2LiICl4 (PBE)

Data for crystalline K2LiICl4 at its relaxed geometry.

Properties
Calculated density, Mg/m³: 2.06
Raw formation energy, eV/atom: -1.409
Crystal system: monoclinic
E, eV/atom: -3.04
Total moment, μB/f.u.: 0.000

```
K2LiICl4
1.0
5.005 -7.323 0.000
5.005 7.323 0.000
-4.723 0.000 7.768
K Li I Cl
4 2 2 8
Cartesian
0.000 0.000 0.000 K
-2.361 0.000 3.884 K
2.503 3.662 0.000 K
0.141 -3.662 3.884 K
0.141 3.662 3.884 Li
2.503 -3.662 0.000 Li
5.005 0.000 0.000 I
2.644 0.000 3.884 I
2.221 4.340 3.083 Cl
0.523 1.082 2.903 Cl
5.428 4.340 0.800 Cl
-1.838 -1.082 6.787 Cl
7.126 1.082 0.981 Cl
-0.140 -4.340 6.967 Cl
4.765 -1.082 4.865 Cl
3.067 -4.340 4.684 Cl
```



Record 7
## KLiICl (PBE)

Data for crystalline KLiICl at its relaxed geometry.

Properties
Calculated density, Mg/m³: 2.50
Raw formation energy, eV/atom: -1.587
Crystal system: trigonal
Energy above the most stable polymorph in this dataset, kJ/mol of atoms: 0.0
E, eV/atom: -3.19
Total moment, μB/f.u.: 0.000

```
KLiICl
1.0
4.637 0.000 0.000
-2.318 4.016 0.000
0.000 0.000 7.439
K Li I Cl
1 1 1 1
Cartesian
0.000 0.000 0.000 K
2.318 1.339 3.697 Li
0.000 2.677 4.858 I
2.318 1.339 1.423 Cl
```



Record 8
## KLiICl (PBE)

Data for crystalline KLiICl at its relaxed geometry.

Properties
Calculated density, Mg/m³: 2.70
Raw formation energy, eV/atom: -1.499
Crystal system: tetragonal
Energy above the most stable polymorph in this dataset, kJ/mol of atoms: 8.5
E, eV/atom: -3.10
Total moment, μB/f.u.: 0.000

```
KLiICl
1.0
4.303 0.000 0.000
0.000 4.303 0.000
0.000 0.000 6.919
K Li I Cl
1 1 1 1
Cartesian
0.000 0.000 0.000 K
2.152 2.152 3.460 Li
0.000 0.000 3.460 I
2.152 2.152 0.000 Cl
```



Record 9
## K2MgI3Cl (PBE)

Data for crystalline K2MgI3Cl at its relaxed geometry.

Properties
Calculated density, Mg/m³: 3.23
Raw formation energy, eV/atom: -1.418
Crystal system: orthorhombic
E, eV/atom: -2.89
Total moment, μB/f.u.: 0.000

```
K2MgI3Cl
1.0
-2.494 2.917 9.151
2.494 -2.917 9.151
2.494 2.917 -9.151
K Mg I Cl
2 1 3 1
Cartesian
0.000 0.000 2.618 K
0.000 0.000 15.683 K
0.000 0.000 9.151 Mg
2.494 0.000 0.000 I
0.000 0.000 6.179 I
0.000 0.000 12.122 I
0.000 2.917 0.000 Cl
```



Record 10
## KMgI2Cl (PBE)

Data for crystalline KMgI2Cl at its relaxed geometry.

Properties
Calculated density, Mg/m³: 1.46
Raw formation energy, eV/atom: -0.934
Crystal system: tetragonal
Energy above the most stable polymorph in this dataset, kJ/mol of atoms: 46.5
E, eV/atom: -2.46
Total moment, μB/f.u.: 0.000

```
KMgI2Cl
1.0
5.433 0.000 0.000
0.000 5.433 0.000
0.000 0.000 13.568
K Mg I Cl
1 1 2 1
Cartesian
0.000 0.000 0.000 K
0.000 0.000 6.784 Mg
0.000 2.716 6.784 I
2.716 0.000 6.784 I
2.716 2.716 0.000 Cl
```



Record 11
## KMgI2Cl (PBE)

Data for crystalline KMgI2Cl at its relaxed geometry.

Properties
Calculated density, Mg/m³: 3.06
Raw formation energy, eV/atom: -1.416
Crystal system: monoclinic
Energy above the most stable polymorph in this dataset, kJ/mol of atoms: 0.0
E, eV/atom: -2.94
Total moment, μB/f.u.: 0.000

```
KMgI2Cl
1.0
8.616 0.000 0.000
0.000 4.422 0.000
-3.558 0.000 10.046
K Mg I Cl
2 2 4 2
Cartesian
0.074 1.105 4.148 K
4.984 3.316 5.898 K
0.156 1.105 8.327 Mg
4.902 3.316 1.719 Mg
-0.986 3.316 9.985 I
1.515 3.316 6.720 I
3.543 1.105 3.327 I
6.043 1.105 0.061 I
-1.716 1.105 6.807 Cl
6.774 3.316 3.239 Cl
```



Record 12
## KMgI2Cl (PBE)

Data for crystalline KMgI2Cl at its relaxed geometry.

Properties
Calculated density, Mg/m³: 3.38
Raw formation energy, eV/atom: -1.377
Crystal system: tetragonal
Energy above the most stable polymorph in this dataset, kJ/mol of atoms: 3.7
E, eV/atom: -2.91
Total moment, μB/f.u.: 0.000

```
KMgI2Cl
1.0
5.957 0.000 0.000
0.000 5.957 0.000
0.000 0.000 4.887
K Mg I Cl
1 1 2 1
Cartesian
0.000 0.000 0.000 K
2.979 2.979 2.444 Mg
0.000 2.979 2.444 I
2.979 0.000 2.444 I
2.979 2.979 0.000 Cl
```



Record 13
## KMnICl2 (PBE)

Data for crystalline KMnICl2 at its relaxed geometry.

Properties
Calculated density, Mg/m³: 3.22
Raw formation energy, eV/atom: -1.187
Crystal system: tetragonal
Energy above the most stable polymorph in this dataset, kJ/mol of atoms: 5.2
E, eV/atom: -4.29
Total moment, μB/f.u.: 5.000

```
KMnICl2
1.0
5.051 0.000 0.000
0.000 5.051 0.000
0.000 0.000 5.902
K Mn I Cl
1 1 1 2
Cartesian
0.000 0.000 0.000 K
2.525 2.525 2.951 Mn
2.525 2.525 0.000 I
0.000 2.525 2.951 Cl
2.525 0.000 2.951 Cl
```



Record 14
## K3Mn2I2Cl5 (PBE)

Data for crystalline K3Mn2I2Cl5 at its relaxed geometry.

Properties
Calculated density, Mg/m³: 3.02
Raw formation energy, eV/atom: -1.363
Crystal system: tetragonal
E, eV/atom: -4.19
Total moment, μB/f.u.: 10.000

```
K3Mn2I2Cl5
1.0
-2.549 2.549 13.913
2.549 -2.549 13.913
2.549 2.549 -13.913
K Mn I Cl
3 2 2 5
Cartesian
0.000 0.000 0.000 K
0.000 0.000 4.732 K
0.000 0.000 23.094 K
0.000 0.000 11.356 Mn
0.000 0.000 16.470 Mn
0.000 0.000 8.487 I
0.000 0.000 19.339 I
2.549 0.000 2.468 Cl
2.549 0.000 11.444 Cl
0.000 0.000 13.913 Cl
0.000 2.549 2.468 Cl
0.000 2.549 11.444 Cl
```



Record 15
## KMnICl2 (PBE)

Data for crystalline KMnICl2 at its relaxed geometry.

Properties
Calculated density, Mg/m³: 2.55
Raw formation energy, eV/atom: -1.241
Crystal system: monoclinic
Energy above the most stable polymorph in this dataset, kJ/mol of atoms: 0.0
E, eV/atom: -4.34
Total moment, μB/f.u.: 5.000

```
KMnICl2
1.0
8.053 0.000 0.000
0.000 5.387 0.000
-2.013 0.000 8.763
K Mn I Cl
2 2 2 4
Cartesian
1.139 1.347 3.224 K
4.902 4.040 5.539 K
1.684 1.347 7.414 Mn
4.356 4.040 1.349 Mn
-0.798 1.347 6.419 I
6.838 4.040 2.344 I
2.755 4.040 3.047 Cl
2.009 4.040 7.729 Cl
4.032 1.347 1.035 Cl
3.286 1.347 5.716 Cl
```



Record 16
## KMoICl2 (PBE)

Data for crystalline KMoICl2 at its relaxed geometry.

Properties
Calculated density, Mg/m³: 2.32
Raw formation energy, eV/atom: 0.515
Crystal system: tetragonal
E, eV/atom: -2.92
Total moment, μB/f.u.: 5.370

```
KMoICl2
1.0
5.382 0.000 0.000
0.000 5.382 0.000
0.000 0.000 8.229
K Mo I Cl
1 1 1 2
Cartesian
0.000 0.000 0.000 K
0.000 0.000 4.114 Mo
2.691 2.691 4.114 I
0.000 2.691 0.000 Cl
2.691 0.000 0.000 Cl
```



Record 17
## K2MoI4Cl2 (PBE)

Data for crystalline K2MoI4Cl2 at its relaxed geometry.

Properties
Calculated density, Mg/m³: 3.73
Raw formation energy, eV/atom: -0.941
Crystal system: monoclinic
E, eV/atom: -3.49
Total moment, μB/f.u.: 1.999

```
K2MoI4Cl2
1.0
6.468 -4.094 0.000
6.468 4.094 0.000
-5.079 0.000 6.323
K Mo I Cl
2 1 4 2
Cartesian
1.746 0.000 1.841 K
6.110 0.000 4.482 K
-2.539 0.000 3.162 Mo
4.869 2.121 1.425 I
2.987 2.121 4.899 I
4.869 -2.121 1.425 I
2.987 -2.121 4.899 I
-0.441 0.000 4.290 Cl
8.297 0.000 2.034 Cl
```



Record 18
## K3MoI2Cl6 (PBE)

Data for crystalline K3MoI2Cl6 at its relaxed geometry.

Properties
Calculated density, Mg/m³: 2.62
Raw formation energy, eV/atom: -1.198
Crystal system: monoclinic
E, eV/atom: -3.56
Total moment, μB/f.u.: 0.933

```
K3MoI2Cl6
1.0
8.917 -4.367 0.000
8.917 4.367 0.000
-0.990 0.000 5.527
K Mo I Cl
3 1 2 6
Cartesian
0.000 0.000 0.000 K
3.963 2.183 2.763 K
3.963 -2.183 2.763 K
8.422 0.000 2.763 Mo
2.496 0.000 5.280 I
14.347 0.000 0.247 I
7.082 1.710 3.768 Cl
9.761 1.710 1.758 Cl
7.011 0.000 0.964 Cl
9.833 0.000 4.562 Cl
7.082 -1.710 3.768 Cl
9.761 -1.710 1.758 Cl
```



Record 19
## K2MoI2Cl4 (PBE)

Data for crystalline K2MoI2Cl4 at its relaxed geometry.

Properties
Calculated density, Mg/m³: 3.09
Raw formation energy, eV/atom: -1.164
Crystal system: monoclinic
E, eV/atom: -3.78
Total moment, μB/f.u.: 2.000

```
K2MoI2Cl4
1.0
6.446 -3.688 0.000
6.446 3.688 0.000
-4.259 0.000 6.449
K Mo I Cl
2 1 2 4
Cartesian
2.322 0.000 1.266 K
6.311 0.000 5.183 K
6.446 0.000 0.000 Mo
0.370 0.000 4.333 I
8.262 0.000 2.116 I
5.158 1.698 1.112 Cl
3.475 1.698 5.338 Cl
5.158 -1.698 1.112 Cl
3.475 -1.698 5.338 Cl
```



Record 20
## KI2NCl (PBE)

Data for crystalline KI2NCl at its relaxed geometry.

Properties
Calculated density, Mg/m³: 3.24
Raw formation energy, eV/atom: 0.427
Crystal system: tetragonal
Energy above the most stable polymorph in this dataset, kJ/mol of atoms: 0.0
E, eV/atom: -2.45
Total moment, μB/f.u.: 0.982

```
KI2NCl
1.0
7.133 0.000 0.000
0.000 7.133 0.000
0.000 0.000 3.449
K I N Cl
1 2 1 1
Cartesian
0.000 0.000 0.000 K
0.000 3.567 1.725 I
3.567 0.000 1.725 I
3.567 3.567 0.000 N
3.567 3.567 1.725 Cl
```



Record 21
## KI2NCl (PBE)

Data for crystalline KI2NCl at its relaxed geometry.

Properties
Calculated density, Mg/m³: 2.27
Raw formation energy, eV/atom: 0.908
Crystal system: tetragonal
Energy above the most stable polymorph in this dataset, kJ/mol of atoms: 46.4
E, eV/atom: -1.97
Total moment, μB/f.u.: 5.012

```
KI2NCl
1.0
6.664 0.000 0.000
0.000 6.664 0.000
0.000 0.000 5.638
K I N Cl
1 2 1 1
Cartesian
0.000 0.000 0.000 K
0.000 3.332 0.000 I
3.332 0.000 0.000 I
0.000 0.000 2.819 N
3.332 3.332 2.819 Cl
```



Record 22
## K2NaICl6 (PBE)

Data for crystalline K2NaICl6 at its relaxed geometry.

Properties
Calculated density, Mg/m³: 2.16
Raw formation energy, eV/atom: -1.198
Crystal system: triclinic
E, eV/atom: -2.81
Total moment, μB/f.u.: 0.000

```
K2NaICl6
1.0
6.062 0.000 0.000
-0.063 7.716 0.000
-2.803 -2.950 7.231
K Na I Cl
2 1 1 6
Cartesian
-0.154 0.777 3.602 K
3.350 3.989 3.630 K
-0.031 3.858 0.000 Na
3.031 0.000 0.000 I
-1.365 -1.441 5.911 Cl
0.405 3.838 2.699 Cl
-0.949 2.743 6.198 Cl
4.144 2.023 1.034 Cl
2.791 0.928 4.533 Cl
4.561 6.206 1.320 Cl
```



Record 23
## KNa2ICl4 (PBE)

Data for crystalline KNa2ICl4 at its relaxed geometry.

Properties
Calculated density, Mg/m³: 2.34
Raw formation energy, eV/atom: -1.368
Crystal system: monoclinic
E, eV/atom: -2.95
Total moment, μB/f.u.: 0.000

```
KNa2ICl4
1.0
5.562 -6.653 0.000
5.562 6.653 0.000
-5.527 0.000 6.778
K Na I Cl
2 4 2 8
Cartesian
0.000 0.000 0.000 K
-2.763 0.000 3.389 K
2.781 3.326 0.000 Na
0.018 -3.326 3.389 Na
5.562 0.000 0.000 Na
2.799 0.000 3.389 Na
0.018 3.326 3.389 I
2.781 -3.326 0.000 I
-2.544 0.637 6.505 Cl
2.497 2.895 2.802 Cl
0.219 -0.637 3.116 Cl
5.864 2.895 0.587 Cl
-0.266 -2.895 6.191 Cl
5.379 0.637 3.662 Cl
3.100 -2.895 3.975 Cl
8.142 -0.637 0.273 Cl
```



Record 24
## KNa2ICl8 (PBE)

Data for crystalline KNa2ICl8 at its relaxed geometry.

Properties
Calculated density, Mg/m³: 2.11
Raw formation energy, eV/atom: -0.932
Crystal system: triclinic
E, eV/atom: -2.60
Total moment, μB/f.u.: 0.000

```
KNa2ICl8
1.0
6.352 0.000 0.000
-0.871 6.936 0.000
-0.795 -2.803 8.850
K Na I Cl
1 2 1 8
Cartesian
0.000 0.000 0.000 K
2.027 -0.029 7.167 Na
2.659 4.162 1.683 Na
-0.398 -1.402 4.425 I
-0.190 4.502 2.361 Cl
0.234 4.257 5.999 Cl
1.220 0.492 4.437 Cl
2.432 1.708 0.721 Cl
2.254 2.424 8.129 Cl
3.465 3.640 4.413 Cl
4.451 -0.125 2.852 Cl
4.875 -0.369 6.489 Cl
```